# 1
VASP calculation (PBE-GGA) on a relaxed Zr4Si3Sb5 crystal.

## Properties
uncorrected formation energy: -0.5718 eV per atom
size of the total moment: 0.00 μB per formula unit

Cell and atoms, written as CIF:
```
data_Zr4Si3Sb5
_symmetry_space_group_name_H-M 'P 1'
_symmetry_Int_Tables_number 1
_cell_length_a 3.851
_cell_length_b 3.851
_cell_length_c 17.358
_cell_angle_alpha 90.00
_cell_angle_beta 90.00
_cell_angle_gamma 90.00
loop_
_symmetry_equiv_pos_as_xyz
'x,y,z'
loop_
_atom_site_label
_atom_site_fract_x
_atom_site_fract_y
_atom_site_fract_z
_atom_site_occupancy
Sb1 0.500 0.000 0.689 1
Sb2 0.000 0.500 0.801 1
Sb3 0.000 0.500 0.311 1
Zr1 0.500 0.000 0.379 1
Sb4 0.500 0.500 0.000 1
Zr2 0.500 0.000 0.872 1
Zr3 0.000 0.500 0.621 1
Si1 0.000 0.000 0.000 1
Si2 0.000 0.000 0.500 1
Zr4 0.000 0.500 0.128 1
Si3 0.500 0.500 0.500 1
Sb5 0.500 0.000 0.199 1
```

***

# 2
VASP calculation (PBE-GGA) on a relaxed K3PaTi2Te6 crystal.

## Properties
uncorrected formation energy: -0.8847 eV per atom
size of the total moment: 4.02 μB per formula unit

Cell and atoms, written as CIF:
```
data_K3PaTi2Te6
_symmetry_space_group_name_H-M 'P 1'
_symmetry_Int_Tables_number 1
_cell_length_a 7.353
_cell_length_b 7.353
_cell_length_c 8.671
_cell_angle_alpha 98.16
_cell_angle_beta 98.16
_cell_angle_gamma 119.94
loop_
_symmetry_equiv_pos_as_xyz
'x,y,z'
loop_
_atom_site_label
_atom_site_fract_x
_atom_site_fract_y
_atom_site_fract_z
_atom_site_occupancy
Ti1 0.335 0.665 0.000 1
K1 0.500 0.500 0.500 1
K2 0.162 0.838 0.500 1
Te1 0.417 0.066 0.199 1
Te2 0.283 0.283 0.800 1
Ti2 0.665 0.335 0.000 1
Te3 0.583 0.934 0.801 1
Te4 0.934 0.583 0.801 1
Te5 0.717 0.717 0.200 1
K3 0.838 0.162 0.500 1
Pa1 0.000 0.000 0.000 1
Te6 0.066 0.417 0.199 1
```

***

The lowest uncorrected formation energy belongs to which entry? K3PaTi2Te6

***

Number 1 is which compound? Zr4Si3Sb5

***

Which of these has the lowest uncorrected formation energy? K3PaTi2Te6

***

Repeat the second record exactly.
VASP calculation (PBE-GGA) on a relaxed K3PaTi2Te6 crystal.

## Properties
uncorrected formation energy: -0.8847 eV per atom
size of the total moment: 4.02 μB per formula unit

Cell and atoms, written as CIF:
```
data_K3PaTi2Te6
_symmetry_space_group_name_H-M 'P 1'
_symmetry_Int_Tables_number 1
_cell_length_a 7.353
_cell_length_b 7.353
_cell_length_c 8.671
_cell_angle_alpha 98.16
_cell_angle_beta 98.16
_cell_angle_gamma 119.94
loop_
_symmetry_equiv_pos_as_xyz
'x,y,z'
loop_
_atom_site_label
_atom_site_fract_x
_atom_site_fract_y
_atom_site_fract_z
_atom_site_occupancy
Ti1 0.335 0.665 0.000 1
K1 0.500 0.500 0.500 1
K2 0.162 0.838 0.500 1
Te1 0.417 0.066 0.199 1
Te2 0.283 0.283 0.800 1
Ti2 0.665 0.335 0.000 1
Te3 0.583 0.934 0.801 1
Te4 0.934 0.583 0.801 1
Te5 0.717 0.717 0.200 1
K3 0.838 0.162 0.500 1
Pa1 0.000 0.000 0.000 1
Te6 0.066 0.417 0.199 1
```